Material: Ac4PmSm
Method: DFT, PBE
State: optimized geometry

Lattice parameters (Å, degrees): 5.886 5.886 10.204 73.23 73.24 60.00
Positions (direct):
1 Ac 0.125 0.125 0.626
2 Ac 0.375 0.375 0.876
3 Ac 0.625 0.625 0.124
4 Ac 0.875 0.875 0.374
5 Pm 0.500 0.500 0.500
6 Sm 0.000 0.000 0.000

Spin magnetization: 0.0 μB/f.u.
Raw total energy: -22.40 eV/cell
Density of states at the Fermi level: 1.48 states/eV per atom
Energy above the most stable polymorph in this dataset: 0.546 eV/atom
E_form: 0.5832 eV per atom